# 1
Compound: Er2Ga6Co
Source: the Alexandria database
Functional: PBE
Structure: relaxed

abc: 5.5715 5.7737 5.7737
angles: 59.99 89.99 89.99
Last column: nearest neighbours and their distance in Å.
Sites, in units of the cell vectors:
Co  0.0000  0.0000  0.0000  6 Ga 2.44
Ga  0.6902  0.6545  0.1729  1 Co 2.44, 2 Ga 2.73
Ga  0.3098  0.8271  0.3455  1 Co 2.44, 2 Ga 2.73
Ga  0.3098  0.8274  0.8274  1 Co 2.44
Ga  0.6902  0.1726  0.1726  1 Co 2.44
Ga  0.6902  0.1729  0.6545  1 Co 2.44, 2 Ga 2.73
Ga  0.3098  0.3455  0.8271  1 Co 2.44, 2 Ga 2.73
Er  0.8414  0.6663  0.6663  9 Ga 3.00-3.07
Er  0.1586  0.3337  0.3337  9 Ga 3.00-3.07

Output
Space-group type: P-3m1, No. 164
Total magnetic moment: 0.91 Bohr magnetons per cell
Energy of formation from the pure elements: -0.477 eV/atom

***

# 2
Compound: Er2GaCo
Source: the Alexandria database
Functional: PBE
Structure: relaxed

abc: 3.6578 5.9308 8.3974
angles: 111.31 90.00 90.00
Last column: nearest neighbours and their distance in Å.
Sites, in units of the cell vectors:
Er  0.2500  0.7890  0.0517  3 Co 2.74-2.99, 3 Ga 3.04-3.05
Er  0.7500  0.2110  0.9483  3 Co 2.74-2.99, 3 Ga 3.04-3.05
Er  0.7500  0.2113  0.4026  2 Co 2.70
Er  0.2500  0.7887  0.5974  2 Co 2.70
Co  0.7500  0.6712  0.7908  2 Ga 2.51, 4 Er 2.70-2.74
Co  0.2500  0.3288  0.2092  2 Ga 2.51, 4 Er 2.70-2.74
Ga  0.2500  0.3612  0.7136  2 Co 2.51
Ga  0.7500  0.6388  0.2864  2 Co 2.51

Output
Space-group type: P2_1/m, No. 11
Total magnetic moment: 0.00 Bohr magnetons per cell
Energy of formation from the pure elements: -0.420 eV/atom

***

# 3
Compound: Er3Ga2Co2
Source: the Alexandria database
Functional: PBE
Structure: relaxed

abc: 5.4317 7.6544 13.0086
angles: 90.00 90.00 90.00
Last column: nearest neighbours and their distance in Å.
Sites, in units of the cell vectors:
Co  0.3615  0.9650  0.0903  3 Ga 2.46-2.52, 1 Er 2.72
Co  0.6385  0.0350  0.5903  3 Ga 2.46-2.52, 1 Er 2.72
Co  0.6385  0.4650  0.0903  3 Ga 2.46-2.52, 1 Er 2.72
Co  0.3615  0.5350  0.9097  3 Ga 2.46-2.52, 1 Er 2.72
Co  0.6385  0.0350  0.9097  3 Ga 2.46-2.52, 1 Er 2.72
Co  0.3615  0.9650  0.4097  3 Ga 2.46-2.52, 1 Er 2.72
Co  0.6385  0.4650  0.4097  3 Ga 2.46-2.52, 1 Er 2.72
Co  0.3615  0.5350  0.5903  3 Ga 2.46-2.52, 1 Er 2.72
Er  0.6316  0.7400  0.2500  5 Ga 2.92-3.25, 4 Co 2.96-3.07
Er  0.8451  0.0989  0.4032  4 Co 2.72-3.02, 2 Ga 2.99-3.02
Er  0.6316  0.7600  0.7500  5 Ga 2.92-3.25, 4 Co 2.96-3.07
Er  0.8451  0.4011  0.9032  4 Co 2.72-3.02, 2 Ga 2.99-3.02
Er  0.8451  0.4011  0.5968  4 Co 2.72-3.02, 2 Ga 2.99-3.02
Er  0.1549  0.9011  0.9032  4 Co 2.72-3.02, 2 Ga 2.99-3.02
Er  0.1549  0.9011  0.5968  4 Co 2.72-3.02, 2 Ga 2.99-3.02
Er  0.8451  0.0989  0.0968  4 Co 2.72-3.02, 2 Ga 2.99-3.02
Er  0.1549  0.5989  0.0968  4 Co 2.72-3.02, 2 Ga 2.99-3.02
Er  0.3684  0.2400  0.2500  5 Ga 2.92-3.25, 4 Co 2.96-3.07
Er  0.1549  0.5989  0.4032  4 Co 2.72-3.02, 2 Ga 2.99-3.02
Er  0.3684  0.2600  0.7500  5 Ga 2.92-3.25, 4 Co 2.96-3.07
Ga  0.1387  0.6050  0.7500  2 Co 2.46
Ga  0.1387  0.8950  0.2500  2 Co 2.46
Ga  0.3614  0.2500  0.0000  4 Co 2.48-2.52
Ga  0.6386  0.7500  0.0000  4 Co 2.48-2.52
Ga  0.6386  0.7500  0.5000  4 Co 2.48-2.52
Ga  0.8613  0.3950  0.2500  2 Co 2.46
Ga  0.3614  0.2500  0.5000  4 Co 2.48-2.52
Ga  0.8613  0.1050  0.7500  2 Co 2.46

Output
Space-group type: Pbcm, No. 57
Total magnetic moment: 0.00 Bohr magnetons per cell
Energy of formation from the pure elements: -0.489 eV/atom

***

# 4
Compound: Er3Ga5Co6
Source: the Alexandria database
Functional: PBE
Structure: relaxed

abc: 4.1302 8.4958 12.3052
angles: 90.00 90.00 90.00
Last column: nearest neighbours and their distance in Å.
Sites, in units of the cell vectors:
Co  0.5000  0.0250  0.6610  4 Ga 2.41-2.48
Co  0.0000  0.5921  0.6857  4 Ga 2.41-2.47, 1 Co 2.60
Co  0.0000  0.5921  0.3143  4 Ga 2.41-2.47, 1 Co 2.60
Co  0.0000  0.0505  0.5000  4 Ga 2.40-2.43
Co  0.0000  0.4449  0.5000  4 Ga 2.56, 2 Co 2.60
Co  0.5000  0.5551  0.0000  4 Ga 2.56, 2 Co 2.60
Co  0.5000  0.0250  0.3390  4 Ga 2.41-2.48
Co  0.5000  0.9495  0.0000  4 Ga 2.40-2.43
Co  0.5000  0.4079  0.8143  4 Ga 2.41-2.47, 1 Co 2.60
Co  0.0000  0.9750  0.8390  4 Ga 2.41-2.48
Co  0.0000  0.9750  0.1610  4 Ga 2.41-2.48
Co  0.5000  0.4079  0.1857  4 Ga 2.41-2.47, 1 Co 2.60
Ga  0.5000  0.1221  0.8452  5 Co 2.40-2.46
Ga  0.0000  0.8779  0.6548  5 Co 2.40-2.46
Ga  0.0000  0.7984  0.0000  4 Co 2.43-2.48
Ga  0.0000  0.5188  0.1201  5 Co 2.41-2.56
Ga  0.5000  0.4812  0.6201  5 Co 2.41-2.56
Ga  0.0000  0.8779  0.3452  5 Co 2.40-2.46
Ga  0.0000  0.5188  0.8799  5 Co 2.41-2.56
Ga  0.5000  0.1221  0.1548  5 Co 2.40-2.46
Ga  0.5000  0.4812  0.3799  5 Co 2.41-2.56
Ga  0.5000  0.2016  0.5000  4 Co 2.43-2.48
Er  0.5000  0.7524  0.1956  8 Co 2.83-2.93, 4 Ga 2.96-3.01
Er  0.0000  0.2476  0.3044  8 Co 2.83-2.93, 4 Ga 2.96-3.01
Er  0.0000  0.2180  0.0000  4 Co 2.86-3.08, 6 Ga 2.93-2.95
Er  0.5000  0.7524  0.8044  8 Co 2.83-2.93, 4 Ga 2.96-3.01
Er  0.5000  0.7820  0.5000  4 Co 2.86-3.08, 6 Ga 2.93-2.95
Er  0.0000  0.2476  0.6956  8 Co 2.83-2.93, 4 Ga 2.96-3.01

Output
Space-group type: Pmmn, No. 59
Total magnetic moment: 1.55 Bohr magnetons per cell
Energy of formation from the pure elements: -0.404 eV/atom

***

# 5
Compound: Er2GaCo5Ge2
Source: the Alexandria database
Functional: PBE
Structure: relaxed

abc: 3.3493 9.3952 9.3952
angles: 90.00 90.00 90.00
Last column: nearest neighbours and their distance in Å.
Sites, in units of the cell vectors:
Co  0.5000  0.0633  0.7927  2 Ge 2.38, 2 Ga 2.64
Co  0.5000  0.5000  0.0000  4 Ge 2.34
Co  0.5000  0.7073  0.4367  2 Ge 2.38, 2 Ga 2.64
Co  0.5000  0.2073  0.0633  2 Ge 2.38, 2 Ga 2.64
Co  0.5000  0.4367  0.2927  2 Ge 2.38, 2 Ga 2.64
Co  0.5000  0.0000  0.5000  4 Ge 2.34
Co  0.5000  0.9367  0.2073  2 Ge 2.38, 2 Ga 2.64
Co  0.5000  0.5633  0.7073  2 Ge 2.38, 2 Ga 2.64
Co  0.5000  0.2927  0.5633  2 Ge 2.38, 2 Ga 2.64
Co  0.5000  0.7927  0.9367  2 Ge 2.38, 2 Ga 2.64
Ge  0.0000  0.1227  0.6227  6 Co 2.34-2.38
Ge  0.0000  0.8773  0.3773  6 Co 2.34-2.38
Ge  0.0000  0.3773  0.1227  6 Co 2.34-2.38
Ge  0.0000  0.6227  0.8773  6 Co 2.34-2.38
Er  0.0000  0.6751  0.1751  3 Ge 2.69-2.84, 10 Co 2.87-3.01
Er  0.0000  0.1751  0.3249  3 Ge 2.69-2.84, 10 Co 2.87-3.01
Er  0.0000  0.3249  0.8249  3 Ge 2.69-2.84, 10 Co 2.87-3.01
Er  0.0000  0.8249  0.6751  3 Ge 2.69-2.84, 10 Co 2.87-3.01
Ga  0.0000  0.0000  0.0000  8 Co 2.64
Ga  0.0000  0.5000  0.5000  8 Co 2.64

Output
Space-group type: P4/mbm, No. 127
Total magnetic moment: 0.00 Bohr magnetons per cell
Energy of formation from the pure elements: -0.314 eV/atom

***

# 6
Compound: Er2Ga2Co5Ge
Source: the Alexandria database
Functional: PBE
Structure: relaxed

abc: 3.3115 9.4007 9.4007
angles: 90.00 90.00 90.00
Last column: nearest neighbours and their distance in Å.
Sites, in units of the cell vectors:
Ge  0.0000  0.5000  0.5000  8 Co 2.56
Ge  0.0000  0.0000  0.0000  8 Co 2.56
Co  0.5000  0.8013  0.9384  2 Ga 2.42, 2 Ge 2.56
Co  0.5000  0.4384  0.3013  2 Ga 2.42, 2 Ge 2.56
Co  0.5000  0.5616  0.6987  2 Ga 2.42, 2 Ge 2.56
Co  0.5000  0.0000  0.5000  4 Ga 2.34
Co  0.5000  0.0616  0.8013  2 Ga 2.42, 2 Ge 2.56
Co  0.5000  0.3013  0.5616  2 Ga 2.42, 2 Ge 2.56
Co  0.5000  0.6987  0.4384  2 Ga 2.42, 2 Ge 2.56
Co  0.5000  0.5000  0.0000  4 Ga 2.34
Co  0.5000  0.1987  0.0616  2 Ga 2.42, 2 Ge 2.56
Co  0.5000  0.9384  0.1987  2 Ga 2.42, 2 Ge 2.56
Er  0.0000  0.6735  0.1735  3 Ga 2.69-2.84, 6 Co 2.84-3.00
Er  0.0000  0.3265  0.8265  3 Ga 2.69-2.84, 6 Co 2.84-3.00
Er  0.0000  0.8265  0.6735  3 Ga 2.69-2.84, 6 Co 2.84-3.00
Er  0.0000  0.1735  0.3265  3 Ga 2.69-2.84, 6 Co 2.84-3.00
Ga  0.0000  0.8756  0.3756  6 Co 2.34-2.42
Ga  0.0000  0.6244  0.8756  6 Co 2.34-2.42
Ga  0.0000  0.1244  0.6244  6 Co 2.34-2.42
Ga  0.0000  0.3756  0.1244  6 Co 2.34-2.42

Output
Space-group type: P4/mbm, No. 127
Total magnetic moment: 0.00 Bohr magnetons per cell
Energy of formation from the pure elements: -0.260 eV/atom

***

# 7
Compound: ErGaCo2H
Source: the Alexandria database
Functional: PBE
Structure: relaxed

abc: 3.4320 5.5306 7.2128
angles: 90.00 90.00 108.08
Last column: nearest neighbours and their distance in Å.
Sites, in units of the cell vectors:
Er  0.4577  0.9153  0.7500  4 H 2.53
Er  0.5423  0.0847  0.2500  4 H 2.53
H  0.0000  0.0000  0.5000  2 Co 1.66
H  0.0000  0.0000  0.0000  2 Co 1.66
Co  0.8451  0.6903  0.4531  1 H 1.66
Co  0.1549  0.3097  0.5469  1 H 1.66
Co  0.1549  0.3097  0.9531  1 H 1.66
Co  0.8451  0.6903  0.0469  1 H 1.66
Ga  0.7331  0.4662  0.7500  6 Co 2.40-2.44
Ga  0.2669  0.5338  0.2500  6 Co 2.40-2.44

Output
Space-group type: Cmcm, No. 63
Total magnetic moment: 3.13 Bohr magnetons per cell
Uncorrected energy: -5.361 eV per atom

***

# 8
Compound: Er2Ga4CoIr3
Source: the Alexandria database
Functional: PBE
Structure: relaxed

abc: 4.1206 4.1206 10.4260
angles: 90.00 90.00 90.00
Last column: nearest neighbours and their distance in Å.
Sites, in units of the cell vectors:
Er  0.5000  0.0000  0.2667  8 Ga 3.13-3.46, 2 Co 3.19, 6 Ir 3.19
Er  0.0000  0.5000  0.7333  8 Ga 3.13-3.46, 2 Co 3.19, 6 Ir 3.19
Ir  0.0000  0.5000  0.1411  5 Ga 2.46-2.53
Ir  0.5000  0.0000  0.8589  5 Ga 2.46-2.53
Ir  0.0000  0.0000  0.5000  4 Ga 2.43
Ga  0.0000  0.0000  0.0000  4 Ir 2.53
Ga  0.0000  0.5000  0.3768  2 Co 2.43, 3 Ir 2.43-2.46
Ga  0.5000  0.0000  0.6232  2 Co 2.43, 3 Ir 2.43-2.46
Ga  0.5000  0.5000  0.0000  4 Ir 2.53
Co  0.5000  0.5000  0.5000  4 Ga 2.43

Output
Space-group type: P-4m2, No. 115
Total magnetic moment: 0.00 Bohr magnetons per cell
Energy of formation from the pure elements: -0.628 eV/atom